No. 1
The following is a DFT calculation (GGA-PBE) of Rb2OsPdO6 after structural relaxation. Values from VASP.

Calculated values
* ρ: 7.04 g/cm³
* SG: R-3
* E_tot: -5.75 eV/atom

```
&SYSTEM
  ibrav = 0, nat = 10, ntyp = 4
/
ATOMIC_SPECIES
O 16.00 O.upf
Pd 106.42 Pd.upf
Rb 85.47 Rb.upf
Os 190.23 Os.upf
ATOMIC_POSITIONS angstrom
O 1.230 1.659 5.694
O 0.853 4.253 7.326
Pd -0.471 2.750 6.488
O -0.348 1.637 8.348
O -1.796 1.247 5.649
Rb -0.235 1.369 3.229
O -2.173 3.841 7.281
Os 0.000 0.000 0.000
Rb -0.708 4.132 9.747
O -0.595 3.864 4.627
CELL_PARAMETERS angstrom
-2.879 -0.133 4.972
2.750 0.814 4.980
-0.815 4.819 3.023
```


No. 2
The following is a DFT calculation (GGA-PBE) of Pm6OsO12 after structural relaxation. Values from VASP.

Calculated values
* ρ: 7.45 g/cm³
* SG: R-3
* E_tot: -8.16 eV/atom

```
&SYSTEM
  ibrav = 0, nat = 19, ntyp = 3
/
ATOMIC_SPECIES
Pm 145.00 Pm.upf
O 16.00 O.upf
Os 190.23 Os.upf
ATOMIC_POSITIONS angstrom
Pm 2.345 0.397 3.406
O 1.311 -1.636 3.866
O -4.510 -1.314 5.355
O 4.510 1.314 4.250
O 3.393 -3.249 5.355
O -3.393 3.249 4.250
Pm -0.829 -2.229 3.406
Os 0.000 0.000 0.000
Pm 1.516 -1.832 6.198
Pm -1.516 1.832 3.406
O -1.311 1.636 5.739
O -0.761 -1.954 5.739
O -1.117 -4.563 4.250
O 1.117 4.563 5.355
Pm -2.345 -0.397 6.198
O 2.073 0.318 5.739
Pm 0.829 2.229 6.198
O 0.761 1.954 3.866
O -2.073 -0.318 3.866
CELL_PARAMETERS angstrom
5.016 2.896 3.202
-5.016 2.896 3.202
0.000 -5.792 3.202
```


No. 3
The following is a DFT calculation (GGA-PBE) of Pm2Os2O5 after structural relaxation. Values from VASP.

Calculated values
* ρ: 10.11 g/cm³
* SG: P4/mmm
* energy above the most stable polymorph in this dataset: 456 meV per atom
* E_tot: -7.53 eV/atom

```
&SYSTEM
  ibrav = 0, nat = 9, ntyp = 3
/
ATOMIC_SPECIES
Pm 145.00 Pm.upf
O 16.00 O.upf
Os 190.23 Os.upf
ATOMIC_POSITIONS angstrom
Pm -2.169 -0.690 2.788
O -7.541 -3.742 2.179
Os 0.000 0.000 0.000
O -0.577 -1.508 1.383
O -1.349 0.896 1.377
Os -4.574 -1.467 0.523
Pm -6.463 -2.067 3.279
O -8.313 -1.338 2.174
O -4.316 -1.378 3.033
CELL_PARAMETERS angstrom
-9.148 -2.935 1.047
1.030 -2.315 2.516
-0.513 2.493 2.504
```


No. 4
The following is a DFT calculation (GGA-PBE) of Pm2Os2O5 after structural relaxation. Values from VASP.

Calculated values
* ρ: 11.29 g/cm³
* SG: P4/mmm
* energy above the most stable polymorph in this dataset: 0 meV per atom
* E_tot: -7.98 eV/atom

```
&SYSTEM
  ibrav = 0, nat = 9, ntyp = 3
/
ATOMIC_SPECIES
O 16.00 O.upf
Pm 145.00 Pm.upf
Os 190.23 Os.upf
ATOMIC_POSITIONS angstrom
O -2.100 1.212 -0.922
O -1.929 2.111 -3.466
O -0.157 4.087 -3.976
O 0.186 0.749 -2.477
Pm 0.000 0.000 0.000
Pm -0.328 3.189 -1.432
O -2.443 4.551 -2.421
Os -1.725 0.128 -2.575
Os -2.133 4.093 -4.356
CELL_PARAMETERS angstrom
-0.656 6.377 -2.865
0.685 -1.541 -3.588
-3.887 -0.615 -0.478
```


No. 5
The following is a DFT calculation (GGA-PBE) of Pr6OsO12 after structural relaxation. Values from VASP.

Calculated values
* ρ: 6.96 g/cm³
* SG: R-3
* E_tot: -8.09 eV/atom

```
&SYSTEM
  ibrav = 0, nat = 19, ntyp = 3
/
ATOMIC_SPECIES
O 16.00 O.upf
Pr 140.91 Pr.upf
Os 190.23 Os.upf
ATOMIC_POSITIONS angstrom
O 5.309 -2.403 4.338
Pr 3.256 1.469 2.240
O -2.320 -0.333 6.876
Pr -0.649 2.051 3.627
O 0.662 -3.847 5.129
O 5.758 1.975 2.118
Pr 4.087 -0.409 5.368
Os 0.000 0.000 0.000
O 1.511 2.750 3.200
Pr 0.181 0.173 6.754
Pr 1.042 -1.777 3.679
O 3.053 -0.611 3.225
O -0.402 -0.152 4.461
Pr 2.396 3.419 5.315
O 3.840 1.794 4.533
O 2.775 5.489 3.865
O 0.385 2.253 5.770
O 1.927 -1.109 5.794
O -1.871 4.045 4.656
CELL_PARAMETERS angstrom
-1.141 -4.566 4.806
6.630 0.730 0.869
-2.052 5.479 3.320
```


No. 6
The following is a DFT calculation (GGA-PBE) of Pr2OsO4 after structural relaxation. Values from VASP.

Calculated values
* ρ: 7.66 g/cm³
* SG: Fd-3m
* E_tot: -7.46 eV/atom

```
&SYSTEM
  ibrav = 0, nat = 14, ntyp = 3
/
ATOMIC_SPECIES
O 16.00 O.upf
Pr 140.91 Pr.upf
Os 190.23 Os.upf
ATOMIC_POSITIONS angstrom
O -1.669 0.321 -1.294
O -4.344 2.340 -1.943
O -4.568 -1.022 -2.491
Pr -0.047 4.272 -4.681
Os 0.000 0.000 0.000
Pr -2.018 2.316 -2.632
O -1.868 -3.077 -1.860
Os 1.376 0.555 -3.957
O -2.620 0.914 -4.519
Pr 0.462 -3.120 -2.536
O -2.367 4.312 -3.970
Pr -2.244 -1.081 -3.189
O 0.309 2.293 -3.322
O 0.079 -1.140 -3.887
CELL_PARAMETERS angstrom
3.941 3.912 -4.098
-0.453 -6.795 -1.115
-5.412 4.077 -1.307
```